Record 1
DFT (PBE-GGA) results for a relaxed Pr2Zn3Ga5 crystal.

a b c (Å): 8.6311 8.6311 8.6311
angles (deg): 103.31 90.80 139.09
With the nearest neighbours (Å) after each atom.
Sites, in units of the cell vectors:
Pr 0.1256 0.2480 0.3735  10 Ga 3.22-3.43, 6 Zn 3.26-3.45
Pr 0.3744 0.7480 0.1224  10 Ga 3.22-3.43, 6 Zn 3.26-3.45
Pr 0.6256 0.2520 0.8776  10 Ga 3.22-3.43, 6 Zn 3.26-3.45
Pr 0.8744 0.7520 0.6265  10 Ga 3.22-3.43, 6 Zn 3.26-3.45
Zn 0.1265 0.8682 0.9947  5 Ga 2.45-2.58
Zn 0.2500 0.7500 0.5000  4 Ga 2.58
Zn 0.3735 0.3682 0.7418  5 Ga 2.45-2.58
Zn 0.6265 0.6318 0.2582  5 Ga 2.45-2.58
Zn 0.7500 0.2500 0.5000  4 Ga 2.58
Zn 0.8735 0.1318 0.0053  5 Ga 2.45-2.58
Ga 0.0038 0.7500 0.2538  2 Zn 2.58, 2 Ga 2.61
Ga 0.1205 0.6395 0.7601  3 Zn 2.45-2.58, 2 Ga 2.61
Ga 0.2500 0.2500 0.0000  4 Zn 2.57
Ga 0.3795 0.1395 0.5190  3 Zn 2.45-2.58, 2 Ga 2.61
Ga 0.4962 0.7500 0.7462  2 Zn 2.58, 2 Ga 2.61
Ga 0.5038 0.2500 0.2538  2 Zn 2.58, 2 Ga 2.61
Ga 0.6205 0.8605 0.4810  3 Zn 2.45-2.58, 2 Ga 2.61
Ga 0.7500 0.7500 0.0000  4 Zn 2.57
Ga 0.8795 0.3605 0.2399  3 Zn 2.45-2.58, 2 Ga 2.61
Ga 0.9962 0.2500 0.7462  2 Zn 2.58, 2 Ga 2.61

DFT total energy: -3.34 eV/atom
magnetization: 0.00 μB per formula unit

Record 2
DFT (PBE-GGA) results for a relaxed Pr2Zn4Ga crystal.

a b c (Å): 5.9917 5.9711 8.5453
angles (deg): 90.00 104.93 90.00
With the nearest neighbours (Å) after each atom.
Sites, in units of the cell vectors:
Pr 0.1307 0.2500 0.4003  10 Zn 3.03-3.39, 1 Ga 3.24
Pr 0.2550 0.7500 0.0176  9 Zn 3.04-3.36, 1 Ga 3.19
Pr 0.7450 0.2500 0.9824  9 Zn 3.04-3.36, 1 Ga 3.19
Pr 0.8693 0.7500 0.5997  10 Zn 3.03-3.39, 1 Ga 3.24
Zn 0.2819 0.2500 0.0876  1 Ga 2.57, 2 Zn 2.59
Zn 0.3151 0.7500 0.4080  4 Zn 2.67-2.73, 1 Ga 2.69
Zn 0.4096 0.5312 0.6984  4 Zn 2.59-2.73, 1 Ga 2.62
Zn 0.4096 0.9688 0.6984  4 Zn 2.59-2.73, 1 Ga 2.62
Zn 0.5904 0.0312 0.3016  4 Zn 2.59-2.73, 1 Ga 2.62
Zn 0.5904 0.4688 0.3016  4 Zn 2.59-2.73, 1 Ga 2.62
Zn 0.6849 0.2500 0.5920  4 Zn 2.67-2.73, 1 Ga 2.69
Zn 0.7181 0.7500 0.9124  1 Ga 2.57, 2 Zn 2.59
Ga 0.1224 0.2500 0.7783  4 Zn 2.57-2.69
Ga 0.8776 0.7500 0.2217  4 Zn 2.57-2.69

DFT total energy: -2.90 eV/atom
magnetization: 0.00 μB per formula unit

Record 3
DFT (PBE-GGA) results for a relaxed Pr3Zn3Ga crystal.

a b c (Å): 5.8236 5.8236 14.7734
angles (deg): 106.65 106.65 46.37
With the nearest neighbours (Å) after each atom.
Sites, in units of the cell vectors:
Pr 0.0561 0.0561 0.3898  7 Zn 3.12-3.39, 4 Ga 3.14-3.24
Pr 0.1008 0.1008 0.9210  7 Zn 3.13-3.33
Pr 0.2683 0.2683 0.2263  6 Zn 3.09-3.30, 2 Ga 3.37
Pr 0.7317 0.7317 0.7737  6 Zn 3.09-3.30, 2 Ga 3.37
Pr 0.8992 0.8992 0.0790  7 Zn 3.13-3.33
Pr 0.9439 0.9439 0.6102  7 Zn 3.12-3.39, 4 Ga 3.14-3.24
Zn 0.3707 0.3707 0.4593  3 Ga 2.64-2.95, 1 Zn 2.65
Zn 0.3947 0.3947 0.9256  2 Zn 2.56-2.61
Zn 0.4391 0.4391 0.7650  1 Zn 2.56, 1 Ga 2.59
Zn 0.5609 0.5609 0.2350  1 Zn 2.56, 1 Ga 2.59
Zn 0.6053 0.6053 0.0744  2 Zn 2.56-2.61
Zn 0.6293 0.6293 0.5407  3 Ga 2.64-2.95, 1 Zn 2.65
Ga 0.2428 0.2428 0.6094  3 Zn 2.59-2.64
Ga 0.7572 0.7572 0.3906  3 Zn 2.59-2.64

DFT total energy: -3.39 eV/atom
magnetization: 0.00 μB per formula unit

Record 4
DFT (PBE-GGA) results for a relaxed Pr4ZnGa12 crystal.

a b c (Å): 7.7200 7.7200 7.7200
angles (deg): 109.47 109.47 109.47
With the nearest neighbours (Å) after each atom.
Sites, in units of the cell vectors:
Pr 0.0000 0.0000 0.5000  12 Ga 3.15-3.19
Pr 0.0000 0.5000 0.0000  12 Ga 3.15-3.19
Pr 0.5000 0.0000 0.0000  12 Ga 3.15-3.19
Pr 0.5000 0.5000 0.5000  12 Ga 3.15-3.19
Zn 0.0000 0.0000 0.0000  6 Ga 2.73
Ga 0.0000 0.3058 0.3058  1 Zn 2.73, 4 Ga 2.82
Ga 0.0000 0.6942 0.6942  1 Zn 2.73, 4 Ga 2.82
Ga 0.2500 0.5000 0.7500  8 Ga 2.82-3.15, 4 Pr 3.15
Ga 0.2500 0.7500 0.5000  8 Ga 2.82-3.15, 4 Pr 3.15
Ga 0.3058 0.0000 0.3058  1 Zn 2.73, 4 Ga 2.82
Ga 0.3058 0.3058 0.0000  1 Zn 2.73, 4 Ga 2.82
Ga 0.5000 0.2500 0.7500  8 Ga 2.82-3.15, 4 Pr 3.15
Ga 0.5000 0.7500 0.2500  8 Ga 2.82-3.15, 4 Pr 3.15
Ga 0.6942 0.0000 0.6942  1 Zn 2.73, 4 Ga 2.82
Ga 0.6942 0.6942 0.0000  1 Zn 2.73, 4 Ga 2.82
Ga 0.7500 0.2500 0.5000  8 Ga 2.82-3.15, 4 Pr 3.15
Ga 0.7500 0.5000 0.2500  8 Ga 2.82-3.15, 4 Pr 3.15

DFT total energy: -3.84 eV/atom
magnetization: 0.00 μB per formula unit